Entry 1:
## SrLi4Au (PBE-GGA)

Data for an optimized crystal structure of SrLi4Au.

a b c (Å): 8.3058 4.3594 7.9784
angles (deg): 90.00 90.00 90.00
Space group Pmma (No. 51)
Asymmetric unit:
Sr1 0.2500 0.0000 0.0967 [2 per cell]
Li1 0.0000 0.0000 0.5000 [2 per cell]
Li2 0.0699 0.5000 0.7777 [4 per cell]
Li3 0.2500 0.5000 0.4763 [2 per cell]
Au1 0.2500 0.0000 0.6988 [2 per cell]

## Properties
Formation enthalpy at 0 K (meV/atom): -259.1
Polymorph energy (0 for the lowest one) (eV per atom): 0.000
V (Å³/atom): 24.07
E (eV/cell): -28.34

Entry 2:
## HoTi5 (PBE-GGA)

Data for an optimized crystal structure of HoTi5.

a b c (Å): 4.1544 13.2615 4.1827
angles (deg): 90.00 90.00 90.00
Space group Cmmm (No. 65)
Asymmetric unit:
Ho1 0.0000 0.0000 0.0000 [2 per cell]
Ti1 0.0000 0.1757 0.5000 [4 per cell]
Ti2 0.0000 0.3216 0.0000 [4 per cell]
Ti3 0.0000 0.5000 0.5000 [2 per cell]

## Properties
Formation enthalpy at 0 K (meV/atom): 186.0
V (Å³/atom): 19.20
E (eV/cell): -85.87

Entry 3:
## Cu2TcNiN (PBE-GGA)

Data for an optimized crystal structure of Cu2TcNiN.

a b c (Å): 4.7223 4.7223 3.6892
angles (deg): 90.00 90.00 90.00
Space group P4/mmm (No. 123)
Asymmetric unit:
Cu1 0.0000 0.5000 0.0000 [2 per cell]
Tc1 0.0000 0.0000 0.0000 [1 per cell]
Ni1 0.5000 0.5000 0.5000 [1 per cell]
N1 0.0000 0.0000 0.5000 [1 per cell]

## Properties
V (Å³/atom): 16.45
E (eV/cell): -26.62

Entry 4:
## ScNi2Te (PBE-GGA)

Data for an optimized crystal structure of ScNi2Te.

a b c (Å): 5.4353 6.5134 3.9574
angles (deg): 90.00 106.35 90.00
Space group Cm (No. 8)
Asymmetric unit:
Sc1 0.0000 0.0000 0.0000 [2 per cell]
Ni1 0.1861 0.3060 0.3905 [4 per cell]
Te1 0.4413 0.0000 0.7527 [2 per cell]

## Properties
V (Å³/atom): 16.80
E (eV/cell): -44.80

Entry 5:
## Na3TcBr7 (PBE-GGA)

Data for an optimized crystal structure of Na3TcBr7.

a b c (Å): 13.3241 8.7025 7.3593
angles (deg): 90.00 111.55 90.00
Space group Cm (No. 8)
Asymmetric unit:
Na1 0.0000 0.0000 0.0000 [2 per cell]
Na2 0.4473 0.2197 0.5168 [4 per cell]
Tc1 0.4494 0.0000 0.0157 [2 per cell]
Br1 0.0372 0.0000 0.6516 [2 per cell]
Br2 0.0678 0.2936 0.2424 [4 per cell]
Br3 0.0740 0.5000 0.8246 [2 per cell]
Br4 0.3251 0.0000 0.2148 [2 per cell]
Br5 0.3342 0.2087 0.8022 [4 per cell]

## Properties
V (Å³/atom): 36.08
E (eV/cell): -73.74

Entry 6:
## Sm6Zn3Cu (PBE-GGA)

Data for an optimized crystal structure of Sm6Zn3Cu.

a b c (Å): 9.3434 5.0723 11.5254
angles (deg): 90.00 109.41 90.00
Space group P2_1/m (No. 11)
Asymmetric unit:
Sm1 0.0165 0.2500 0.3982 [2 per cell]
Sm2 0.1541 0.7500 0.1847 [2 per cell]
Sm3 0.2272 0.2500 0.0054 [2 per cell]
Sm4 0.3730 0.7500 0.8496 [2 per cell]
Sm5 0.3767 0.2500 0.6351 [2 per cell]
Sm6 0.3807 0.2500 0.3536 [2 per cell]
Zn1 0.0403 0.7500 0.8804 [2 per cell]
Zn2 0.1214 0.2500 0.7294 [2 per cell]
Zn3 0.2642 0.7500 0.4749 [2 per cell]
Cu1 0.4239 0.7500 0.1169 [2 per cell]

## Properties
Formation enthalpy at 0 K (meV/atom): -176.0
V (Å³/atom): 25.76
E (eV/cell): -75.99

Entry 7:
## ThMg2 (PBE-GGA)

Data for an optimized crystal structure of ThMg2.

a b c (Å): 8.5589 8.5589 8.5589
angles (deg): 90.00 90.00 90.00
Space group Fd-3m (No. 227, origin choice 2)
Asymmetric unit:
Th1 0.1250 0.1250 0.1250 [8 per cell]
Mg1 0.0000 0.0000 0.5000 [16 per cell]

## Properties
Formation enthalpy at 0 K (meV/atom): 6.3
V (Å³/atom): 26.12
E (eV/cell): -84.72

Entry 8:
## K2Hg2Pb (PBE-GGA)

Data for an optimized crystal structure of K2Hg2Pb.

a b c (Å): 14.0111 4.9609 12.2136
angles (deg): 90.00 118.81 90.00
Space group C2/m (No. 12)
Asymmetric unit:
K1 0.0081 0.0000 0.1750 [4 per cell]
K2 0.1898 0.0000 0.6158 [4 per cell]
Hg1 0.0137 0.5000 0.3837 [4 per cell]
Hg2 0.1208 0.5000 0.0649 [4 per cell]
Pb1 0.2260 0.5000 0.8870 [4 per cell]

## Properties
Formation enthalpy at 0 K (meV/atom): -216.9
Polymorph energy (0 for the lowest one) (eV per atom): 0.021
V (Å³/atom): 37.19
E (eV/cell): -30.37

Please write out number 8 again, unchanged.
## K2Hg2Pb (PBE-GGA)

Data for an optimized crystal structure of K2Hg2Pb.

a b c (Å): 14.0111 4.9609 12.2136
angles (deg): 90.00 118.81 90.00
Space group C2/m (No. 12)
Asymmetric unit:
K1 0.0081 0.0000 0.1750 [4 per cell]
K2 0.1898 0.0000 0.6158 [4 per cell]
Hg1 0.0137 0.5000 0.3837 [4 per cell]
Hg2 0.1208 0.5000 0.0649 [4 per cell]
Pb1 0.2260 0.5000 0.8870 [4 per cell]

## Properties
Formation enthalpy at 0 K (meV/atom): -216.9
Polymorph energy (0 for the lowest one) (eV per atom): 0.021
V (Å³/atom): 37.19
E (eV/cell): -30.37